{
  "formula": "Ca2La3PaN6",
  "functional": "PBE",
  "state": "relaxed",
  "final_energy_ev_per_atom": -7.89,
  "magnetic_moment_mub_per_fu": 0.00,
  "e_form_raw_ev_per_atom": -1.368,
  "spacegroup": "C2/m",
  "lattice": [[-3.782, 1.989, -4.639], [1.138, -6.163, 0.709], [-3.829, 0.931, 4.942]],
  "species": ["N", "La", "N", "Ca", "Pa", "N", "N", "N", "Ca", "La", "N", "La"],
  "fractional_positions": [[0.079, 0.377, 0.239], [0.833, 0.167, 0.500], [0.219, 0.219, 0.757], [0.666, 0.334, 0.000], [0.000, 0.000, 0.000], [0.377, 0.079, 0.239], [0.781, 0.781, 0.243], [0.623, 0.921, 0.761], [0.334, 0.666, 0.000], [0.167, 0.833, 0.500], [0.921, 0.623, 0.761], [0.500, 0.500, 0.500]]
}